Record 1
## LiCa2AgS (PBE)

Data for a relaxed LiCa2AgS crystal.

Computed properties:
* ΔE_f (raw): -776 meV per atom
* raw total energy: -3.355 eV/atom

a = 5.4303 Å, b = 5.4303 Å, c = 4.5066 Å
α = 90.00°, β = 90.00°, γ = 90.00°
Closest atoms and distances in Å follow each position.
Sites, in units of the cell vectors:
Li 0.0000 0.0000 0.0000  2 S 2.25
Ca 0.0000 0.5000 0.5000  2 S 2.72
Ca 0.5000 0.0000 0.5000  2 S 2.72
Ag 0.5000 0.5000 0.0000  8 Ca 3.53, 4 Li 3.84
S 0.0000 0.0000 0.5000  2 Li 2.25

=====

Record 2
## LiCaAgSb (PBE)

Data for a relaxed LiCaAgSb crystal.

Computed properties:
* ΔE_f (raw): -503 meV per atom
* raw total energy: -3.225 eV/atom

a = 7.1808 Å, b = 7.1808 Å, c = 7.1808 Å
α = 90.00°, β = 90.00°, γ = 90.00°
Closest atoms and distances in Å follow each position.
Sites, in units of the cell vectors:
Li 0.0000 0.0000 0.0000  4 Sb 3.11, 4 Ag 3.11
Li 0.0000 0.5000 0.5000  4 Sb 3.11, 4 Ag 3.11
Li 0.5000 0.0000 0.5000  4 Sb 3.11, 4 Ag 3.11
Li 0.5000 0.5000 0.0000  4 Sb 3.11, 4 Ag 3.11
Ca 0.0000 0.0000 0.5000  4 Sb 3.11, 4 Ag 3.11
Ca 0.0000 0.5000 0.0000  4 Sb 3.11, 4 Ag 3.11
Ca 0.5000 0.0000 0.0000  4 Sb 3.11, 4 Ag 3.11
Ca 0.5000 0.5000 0.5000  4 Sb 3.11, 4 Ag 3.11
Ag 0.2500 0.2500 0.2500  4 Li 3.11, 4 Ca 3.11
Ag 0.2500 0.7500 0.7500  4 Li 3.11, 4 Ca 3.11
Ag 0.7500 0.2500 0.7500  4 Li 3.11, 4 Ca 3.11
Ag 0.7500 0.7500 0.2500  4 Li 3.11, 4 Ca 3.11
Sb 0.2500 0.2500 0.7500  4 Li 3.11, 4 Ca 3.11
Sb 0.2500 0.7500 0.2500  4 Li 3.11, 4 Ca 3.11
Sb 0.7500 0.2500 0.2500  4 Li 3.11, 4 Ca 3.11
Sb 0.7500 0.7500 0.7500  4 Li 3.11, 4 Ca 3.11

=====

| no. | size of the total moment (μB per formula unit) |
| --- | --- |
| 1 | 0.00 |
| 2 | 0.00 |